! CaCuRu2 | Alexandria | PBE | optimized geometry; values from VASP
! ΔE_f = 0.517 eV/atom
! Theoretical density = 7.7 Mg/m³
! M_tot = 0.224 μB/atom
! Crystal system = tetragonal
&SYSTEM
  ibrav = 0, nat = 4, ntyp = 3
/
ATOMIC_SPECIES
Cu 63.55 Cu.upf
Ca 40.08 Ca.upf
Ru 101.07 Ru.upf
ATOMIC_POSITIONS crystal
Cu 0.750 0.250 0.500
Ca 0.250 0.750 0.500
Ru 0.000 0.000 0.000
Ru 0.500 0.500 0.000
CELL_PARAMETERS angstrom
5.254 0.023 0.000
2.450 4.648 0.000
-3.852 -2.336 2.704

! InSnAu | Alexandria | PBE | optimized geometry; values from VASP
! ΔE_f = -0.176 eV/atom
! Theoretical density = 9.4 Mg/m³
! M_tot = 0.000 μB/atom
! Crystal system = orthorhombic
&SYSTEM
  ibrav = 0, nat = 12, ntyp = 3
/
ATOMIC_SPECIES
Sn 118.71 Sn.upf
Au 196.97 Au.upf
In 114.82 In.upf
ATOMIC_POSITIONS crystal
Sn 0.250 0.005 0.870
Sn 0.750 0.505 0.630
Sn 0.250 0.495 0.370
Sn 0.750 0.995 0.130
Au 0.250 0.257 0.624
Au 0.750 0.757 0.876
Au 0.750 0.743 0.376
Au 0.250 0.243 0.124
In 0.250 0.503 0.880
In 0.750 0.003 0.620
In 0.750 0.497 0.120
In 0.250 0.997 0.380
CELL_PARAMETERS angstrom
4.682 0.000 0.000
0.000 6.883 0.000
0.000 0.000 9.432